1.
A geometry-optimized TaCuOs structure. Source: Alexandria, functional PBE.

abc: 4.378 4.378 2.719
angles: 90.00 90.00 120.00
Positions (direct):
Cu 0.000 0.000 0.001
Os 0.667 0.333 0.345
Ta 0.333 0.667 0.653

Properties
- Final energy: -9.051 eV/atom
- Density: 16.0 Mg/m³


2.
A geometry-optimized Ba2AgP2 structure. Source: Alexandria, functional PBE.

abc: 6.044 6.044 6.244
angles: 61.05 61.05 90.00
Each line ends with the local moment (μB).
Positions (direct):
P 0.381 0.381 0.238  0.15
P 0.619 0.619 0.762  0.15
Ba 0.750 0.250 0.500  0.05
Ba 0.250 0.750 0.500  0.05
Ag 0.000 0.000 0.000  0.00

Properties
- Final energy: -3.951 eV/atom
- Density: 4.4 Mg/m³


3.
A geometry-optimized Hf2HgPt2 structure. Source: Alexandria, functional PBE.

abc: 4.605 4.605 6.117
angles: 67.89 67.89 90.00
Positions (direct):
Hf 0.750 0.250 0.500
Hf 0.250 0.750 0.500
Hg 0.000 0.000 0.000
Pt 0.376 0.376 0.248
Pt 0.624 0.624 0.752

Properties
- Final energy: -7.109 eV/atom
- Density: 14.3 Mg/m³


4.
A geometry-optimized TbPm4Pb2 structure. Source: Alexandria, functional PBE.

abc: 5.997 5.997 7.698
angles: 112.92 112.92 90.00
Positions (direct):
Tb 0.000 0.000 0.000
Pm 0.750 0.250 0.500
Pm 0.250 0.750 0.500
Pm 0.500 0.000 0.000
Pm 0.000 0.500 0.000
Pb 0.632 0.632 0.263
Pb 0.368 0.368 0.737

Properties
- Final energy: -4.390 eV/atom
- Density: 8.3 Mg/m³


The highest density belongs to which entry?
TaCuOs


Among the records above, which one has the highest final energy?
Ba2AgP2


The highest density belongs to which entry?
TaCuOs


The lowest density belongs to which entry?
Ba2AgP2